Entry from Alexandria via LeMat-Bulk: a geometry-optimized CsLa3Ni structure (PBE-GGA).

## Properties
- Final energy: -0.2111 Ry per atom
- ΔH_f (0 K): 1.411 eV per atom

Cell: 5.827 5.827 5.827 Å, 90.00 90.00 90.00°
Space group Pm-3m (No. 221)
Symmetry-distinct sites (fractional):
Cs: 0.000 0.000 0.000
La: 0.000 0.000 0.500
Ni: 0.500 0.500 0.500